Below is a relaxed RbCd2InBi crystal, with properties calculated at the PBE level.

The structure belongs to space group Imm2 (No. 44); the cell edges are 4.9093, 5.1695 and 13.0711 Å and the angles 90.00°, 90.00° and 90.00°. The distinct sites, in fractional coordinates, are Rb at (0.0000, 0.0000, 0.0000), Cd at (0.0000, 0.0000, 0.6199), Cd at (0.0000, 0.5000, 0.2481), In at (0.0000, 0.5000, 0.7369) and Bi at (0.0000, 0.0000, 0.3870).

The relative energy among the computed polymorphs is 0.000 eV per atom. The calculation puts the spin magnetization at 0.000 μB per atom.

Below is a relaxed Na2Zr2ScTe6 crystal, with properties calculated at the PBE level.

The structure belongs to space group C2/m (No. 12); the cell edges are 7.0935, 12.3040 and 8.1819 Å and the angles 90.00°, 107.04° and 90.00°. The distinct sites, in fractional coordinates, are Na at (0.0000, 0.1666, 0.0000), Zr at (0.0000, 0.3318, 0.5000), Sc at (0.0000, 0.0000, 0.5000), Te at (0.2386, 0.5000, 0.7216) and Te at (0.2436, 0.1650, 0.7238).

The calculation puts the spin magnetization at 0.000 μB per atom. The value obtained for the uncorrected formation energy is -1003 meV/atom.

Below is a relaxed RePb3N crystal, with properties calculated at the PBE level.

The structure belongs to space group Pm-3m (No. 221); the cell edges are 4.8347, 4.8347 and 4.8347 Å and the angles 90.00°, 90.00° and 90.00°. The distinct sites, in fractional coordinates, are Re at (0.0000, 0.0000, 0.0000), Pb at (0.0000, 0.5000, 0.5000) and N at (0.5000, 0.5000, 0.5000).

The relative energy among the computed polymorphs is 0.013 eV per atom. The calculation puts the spin magnetization at 0.391 μB per atom. The value obtained for the uncorrected formation energy is 1367 meV/atom.

Below is a relaxed Na4TlF5 crystal, with properties calculated at the PBE level.

The structure belongs to space group C2/m (No. 12); the cell edges are 11.3952, 3.4169 and 8.8032 Å and the angles 90.00°, 118.32° and 90.00°. The distinct sites, in fractional coordinates, are Na at (0.0991, 0.0000, 0.4067), Na at (0.1906, 0.5000, 0.7696), Tl at (0.0000, 0.5000, 0.0000), F at (0.0000, 0.5000, 0.5000), F at (0.1060, 0.0000, 0.8575) and F at (0.2094, 0.5000, 0.3241).

The calculation puts the spin magnetization at 0.000 μB per atom. The value obtained for the uncorrected formation energy is -2487 meV/atom.

Below is a relaxed Ta2FeTe crystal, with properties calculated at the PBE level.

The structure belongs to space group Imm2 (No. 44); the cell edges are 3.3577, 4.6189 and 8.8813 Å and the angles 90.00°, 90.00° and 90.00°. The distinct sites, in fractional coordinates, are Ta at (0.0000, 0.0000, 0.0000), Ta at (0.0000, 0.5000, 0.2253), Fe at (0.0000, 0.0000, 0.4943) and Te at (0.0000, 0.5000, 0.7680).

The calculation puts the spin magnetization at 0.443 μB per atom. The value obtained for the uncorrected formation energy is 219 meV/atom.

Below is a relaxed AcPm6Tm crystal, with properties calculated at the PBE level.

The structure belongs to space group P4/mmm (No. 123); the cell edges are 5.1944, 5.1944 and 10.3682 Å and the angles 90.00°, 90.00° and 90.00°. The distinct sites, in fractional coordinates, are Ac at (0.0000, 0.0000, 0.0000), Pm at (0.0000, 0.5000, 0.2588), Pm at (0.5000, 0.5000, 0.0000), Pm at (0.5000, 0.5000, 0.5000) and Tm at (0.0000, 0.0000, 0.5000).

The relative energy among the computed polymorphs is 0.000 eV per atom. The calculation puts the spin magnetization at 0.000 μB per atom.